1.
The following is a PBE+U calculation of a geometry-optimized UNbVO6 structure, from Alexandria via LeMat-Bulk.

Cell and atoms, written as POSCAR:
```
UNbVO6
1.0
5.3195 0.0000 0.0000
-2.6597 4.6068 0.0000
0.0000 0.0000 9.2191
O V U Nb
12 2 2 2
Cartesian
-0.8099 1.4748 1.1501
-1.7875 3.1680 3.4595
1.8498 3.1320 5.7596
4.4472 1.4388 5.7596
3.6373 0.0360 8.0690
-0.9775 4.5708 1.1501
1.6822 0.0360 5.7596
0.8723 1.4388 8.0690
1.7875 3.1680 1.1501
3.4697 3.1320 8.0690
0.8099 1.4748 3.4595
0.9775 4.5708 3.4595
0.0000 3.0712 2.3048
2.6597 1.5356 6.9143
0.0000 3.0712 6.9143
2.6597 1.5356 2.3048
0.0000 0.0000 4.6096
0.0000 0.0000 0.0000
```

Crystal system = trigonal
Final energy = -9.1016 eV per atom
Spin magnetization = 0.45 μB/atom

=====

2.
The following is a PBE+U calculation of a geometry-optimized Nb9VO25 structure, from Alexandria via LeMat-Bulk.

Cell and atoms, written as POSCAR:
```
Nb9VO25
1.0
11.5236 -0.0083 0.0000
-10.8705 3.8242 0.0000
-0.3265 -1.9080 11.3599
Nb O V
9 25 1
Cartesian
1.2572 -0.2150 3.6762
-5.9457 2.9427 2.3584
2.6575 1.5477 6.3569
-0.9306 2.1233 7.6837
-2.3181 0.4354 5.0030
0.0000 0.0000 0.0000
-7.5736 1.2960 10.0844
7.9000 0.6116 1.2754
6.2594 -1.1099 9.0015
-1.5647 0.2565 7.2388
-0.4547 0.0436 4.4536
1.8875 1.6295 4.1211
-0.3900 2.0367 9.4602
-7.6155 3.2274 3.0191
0.7185 -0.1169 1.8997
-5.0973 2.8776 4.2175
5.4376 -0.8892 7.1424
-6.4750 3.1062 0.4556
2.1638 -0.3748 5.8056
7.9288 -1.3967 8.3408
6.8130 -1.1317 10.9043
-3.7336 2.6141 1.5856
4.4767 1.1563 5.5096
-4.1639 0.6712 5.8502
0.7699 1.7978 6.9062
3.3089 1.4373 8.0508
0.3265 1.9080 0.0000
9.6502 0.3062 0.7279
-2.9692 0.5479 3.3090
-5.4739 0.9413 9.1638
-9.3257 1.5899 10.6319
5.8019 0.9753 2.1960
-1.8388 2.2741 5.5543
4.0639 -0.6842 9.7743
5.7618 -0.0042 5.6799
```

Crystal system = tetragonal
Final energy = -8.8242 eV per atom
Spin magnetization = 0.00 μB/atom

=====

3.
The following is a PBE+U calculation of a geometry-optimized NbV3O structure, from Alexandria via LeMat-Bulk.

Cell and atoms, written as POSCAR:
```
NbV3O
1.0
-2.4607 4.1371 -0.0643
-1.3154 -0.7113 4.5759
3.9230 2.3566 1.4941
V O Nb
3 1 1
Cartesian
-1.2304 2.0686 -0.0321
1.9615 1.1783 0.7470
-0.6577 -0.3557 2.2880
0.0734 2.8912 3.0028
0.0000 0.0000 0.0000
```

Crystal system = cubic
Final energy = -5.2029 eV per atom
Spin magnetization = 1.37 μB/atom

=====

Q: Which value of final energy does entry 1 give?
A: -9.1016 eV per atom

=====

Q: Look up the final energy of the third one.
A: -5.2029 eV per atom

=====

Q: Number 3 is which compound?
A: NbV3O